{
  "formula": "Ti2Cu2Ni3",
  "functional": "PBE",
  "state": "relaxed",
  "lattice_angstrom": [[3.594, 0.000, 0.000], [0.000, 5.859, 0.645], [-1.797, -0.926, 4.050]],
  "species": ["Ti", "Ti", "Cu", "Cu", "Ni", "Ni", "Ni"],
  "fractional_positions": [[0.422, 0.259, 0.844], [0.578, 0.741, 0.156], [0.142, 0.427, 0.284], [0.858, 0.573, 0.716], [0.000, 0.000, 0.000], [0.288, 0.859, 0.576], [0.712, 0.141, 0.424]],
  "energy_ev_per_atom": -6.224,
  "vol_a3_per_cell": 87
}


{
  "formula": "TiCuNi6",
  "functional": "PBE",
  "state": "relaxed",
  "lattice_angstrom": [[-3.361, -1.087, -0.344], [1.421, -4.745, 1.109], [-0.800, 0.913, 4.929]],
  "species": ["Ti", "Cu", "Ni", "Ni", "Ni", "Ni", "Ni", "Ni"],
  "fractional_positions": [[0.500, 0.500, 0.500], [0.500, 0.000, 0.000], [0.000, 0.752, 0.248], [0.000, 0.248, 0.752], [0.000, 0.752, 0.752], [0.000, 0.248, 0.248], [0.500, 0.500, 0.000], [0.500, 0.000, 0.500]],
  "e_above_lowest_polymorph_mev_per_atom": 0,
  "vol_a3_per_cell": 91
}


{
  "formula": "Ti4CuNi",
  "functional": "PBE",
  "state": "relaxed",
  "lattice_angstrom": [[2.857, 0.000, 0.000], [0.000, 5.024, -0.050], [0.000, -0.087, 12.839]],
  "species": ["Ti", "Ti", "Ti", "Ti", "Ti", "Ti", "Ti", "Ti", "Cu", "Cu", "Ni", "Ni"],
  "fractional_positions": [[0.500, 0.166, 0.337], [0.000, 0.334, 0.163], [0.500, 0.834, 0.663], [0.000, 0.666, 0.837], [0.000, 0.670, 0.337], [0.500, 0.830, 0.163], [0.000, 0.330, 0.663], [0.500, 0.170, 0.837], [0.500, 0.500, 0.500], [0.000, 0.000, 0.000], [0.000, 0.000, 0.500], [0.500, 0.500, 0.000]],
  "e_above_lowest_polymorph_mev_per_atom": 198,
  "vol_a3_per_cell": 184
}


{
  "formula": "Ti5CuNi",
  "functional": "PBE",
  "state": "relaxed",
  "lattice_angstrom": [[5.294, 0.550, 0.573], [2.201, 4.846, 0.573], [3.416, 2.460, 9.682]],
  "species": ["Ti", "Ti", "Ti", "Ti", "Ti", "Ti", "Ti", "Ti", "Ti", "Ti", "Cu", "Cu", "Ni", "Ni"],
  "fractional_positions": [[0.901, 0.622, 0.213], [0.331, 0.321, 0.503], [0.622, 0.901, 0.713], [0.859, 0.141, 0.250], [0.679, 0.669, 0.997], [0.321, 0.331, 0.003], [0.141, 0.859, 0.750], [0.378, 0.099, 0.287], [0.669, 0.679, 0.497], [0.099, 0.378, 0.787], [0.335, 0.665, 0.250], [0.665, 0.335, 0.750], [0.000, 0.000, 0.000], [0.000, 0.000, 0.500]],
  "energy_ev_per_atom": -6.965,
  "vol_a3_per_cell": 224
}


{
  "formula": "Ti2CuNi2",
  "functional": "PBE",
  "state": "relaxed",
  "lattice_angstrom": [[-2.567, 3.845, 5.516], [-6.674, -2.173, -1.591], [0.306, -2.133, 1.630]],
  "species": ["Ni", "Ni", "Ni", "Ni", "Cu", "Cu", "Ti", "Ti", "Ti", "Ti"],
  "fractional_positions": [[0.134, 0.634, 0.500], [0.634, 0.866, 0.500], [0.866, 0.366, 0.500], [0.366, 0.134, 0.500], [0.000, 0.000, 0.000], [0.500, 0.500, 0.000], [0.341, 0.841, 0.000], [0.841, 0.659, 0.000], [0.659, 0.159, 0.000], [0.159, 0.341, 0.000]],
  "e_above_lowest_polymorph_mev_per_atom": 217,
  "vol_a3_per_cell": 140
}


{
  "formula": "Ti2CuNi2",
  "functional": "PBE",
  "state": "relaxed",
  "lattice_angstrom": [[6.755, 0.000, 0.000], [0.000, 6.755, 0.000], [0.000, 0.000, 2.984]],
  "species": ["Ni", "Ni", "Ni", "Ni", "Cu", "Cu", "Ti", "Ti", "Ti", "Ti"],
  "fractional_positions": [[0.371, 0.871, 0.000], [0.871, 0.629, 0.000], [0.629, 0.129, 0.000], [0.129, 0.371, 0.000], [0.000, 0.000, 0.000], [0.500, 0.500, 0.000], [0.172, 0.672, 0.500], [0.672, 0.828, 0.500], [0.828, 0.328, 0.500], [0.328, 0.172, 0.500]],
  "e_above_lowest_polymorph_mev_per_atom": 0,
  "vol_a3_per_cell": 136
}


{
  "formula": "Ti2CuNi2",
  "functional": "PBE",
  "state": "relaxed",
  "lattice_angstrom": [[-1.418, -4.930, -1.022], [3.265, -3.416, -1.441], [2.095, -4.399, 4.927]],
  "species": ["Ti", "Ti", "Ti", "Ti", "Cu", "Cu", "Ni", "Ni", "Ni", "Ni"],
  "fractional_positions": [[0.549, 0.823, 0.844], [0.784, 0.323, 0.344], [0.451, 0.177, 0.156], [0.216, 0.677, 0.656], [0.241, 0.750, 0.250], [0.759, 0.250, 0.750], [0.250, 0.235, 0.530], [0.016, 0.265, 0.970], [0.750, 0.765, 0.470], [0.984, 0.735, 0.030]],
  "e_above_lowest_polymorph_mev_per_atom": 32,
  "vol_a3_per_cell": 134
}


{
  "formula": "Ti2CuNi6",
  "functional": "PBE",
  "state": "relaxed",
  "lattice_angstrom": [[-0.651, -2.314, 0.800], [7.346, -2.025, 0.184], [-2.998, 3.929, 4.889]],
  "species": ["Ti", "Ti", "Cu", "Ni", "Ni", "Ni", "Ni", "Ni", "Ni"],
  "fractional_positions": [[0.148, 0.650, 0.299], [0.852, 0.350, 0.701], [0.000, 0.000, 0.000], [0.179, 0.345, 0.356], [0.822, 0.989, 0.644], [0.821, 0.655, 0.644], [0.500, 0.294, 0.000], [0.178, 0.011, 0.356], [0.500, 0.706, 0.000]],
  "e_above_lowest_polymorph_mev_per_atom": 11,
  "vol_a3_per_cell": 110
}